# GGA-PBE PrY2In3AgPd2, optimized geometry
data_PrY2In3AgPd2
_chemical_formula_sum 'Pr2 Y4 In6 Ag2 Pd4'
_space_group_name_H-M_alt 'A m m 2'
_space_group_IT_number 38
_cell_length_a 3.8580
_cell_length_b 13.6425
_cell_length_c 7.8668
_cell_angle_alpha 90.00
_cell_angle_beta 90.00
_cell_angle_gamma 90.00
loop_
_space_group_symop_operation_xyz
'x,y,z'
'-x,-y,z'
'-x,y,z'
'x,-y,z'
'x,y+1/2,z+1/2'
'-x,-y+1/2,z+1/2'
'-x,y+1/2,z+1/2'
'x,-y+1/2,z+1/2'
loop_
_atom_site_label
_atom_site_type_symbol
_atom_site_fract_x
_atom_site_fract_y
_atom_site_fract_z
Pr1 Pr 0.0000 0.0000 0.0000
Y1 Y 0.0000 0.2045 0.3859
In1 In 0.5000 0.0000 0.3271
In2 In 0.5000 0.1352 0.7217
Ag1 Ag 0.0000 0.0000 0.5883
Pd1 Pd 0.5000 0.1693 0.0911
# DFT total energy: -5.027 eV per atom
# Theoretical density: 7.89 g cm⁻³